Record 1
# SmSi3Pt5

An optimized crystal structure of SmSi3Pt5 (GGA-PBE, Alexandria).

Properties
- ΔE to the lowest computed polymorph: 69.3 meV per atom
- ρ: 12.8 g/cm³
- Energy relative to the elements, uncorrected: -856 meV per atom

```
data_SmSi3Pt5
_chemical_formula_sum 'Sm4 Si12 Pt20'
_space_group_name_H-M_alt 'C m c m'
_space_group_IT_number 63
_space_group_name_Hall '-C 2c 2'
_cell_length_a 3.898
_cell_length_b 12.506
_cell_length_c 12.867
_cell_angle_alpha 90.00
_cell_angle_beta 90.00
_cell_angle_gamma 90.00
loop_
_atom_site_label
_atom_site_type_symbol
_atom_site_fract_x
_atom_site_fract_y
_atom_site_fract_z
Sm1 Sm 0.000 0.156 0.250
Si1 Si 0.000 0.114 0.750
Si2 Si 0.000 0.384 0.537
Pt1 Pt 0.000 0.000 0.000
Pt2 Pt 0.000 0.208 0.584
Pt3 Pt 0.000 0.456 0.147
```

Record 2
# Ho3ZnSi6Pd2

An optimized crystal structure of Ho3ZnSi6Pd2 (GGA-PBE, Alexandria).

Properties
- ρ: 7.0 g/cm³
- Energy relative to the elements, uncorrected: -400 meV per atom

```
data_Ho3ZnSi6Pd2
_chemical_formula_sum 'Ho3 Zn1 Si6 Pd2'
_space_group_name_H-M_alt 'P -3 m 1'
_space_group_IT_number 164
_space_group_name_Hall '-P 3 2"'
_cell_length_a 5.5870
_cell_length_b 5.5870
_cell_length_c 8.2336
_cell_angle_alpha 90.00
_cell_angle_beta 90.00
_cell_angle_gamma 120.00
loop_
_atom_site_label
_atom_site_type_symbol
_atom_site_fract_x
_atom_site_fract_y
_atom_site_fract_z
Ho1 Ho 0.0000 0.0000 0.0000
Ho2 Ho 0.3333 0.6667 0.5993
Zn1 Zn 0.0000 0.0000 0.5000
Si1 Si 0.1873 0.3745 0.2737
Pd1 Pd 0.3333 0.6667 0.0223
```

Record 3
# La6GaSe5

An optimized crystal structure of La6GaSe5 (GGA-PBE, Alexandria).

Properties
- ρ: 6.2 g/cm³
- Energy relative to the elements, uncorrected: -1769 meV per atom

```
data_La6GaSe5
_chemical_formula_sum 'La12 Ga2 Se10'
_space_group_name_H-M_alt 'C 1 2/m 1'
_space_group_IT_number 12
_space_group_name_Hall '-C 2y'
_cell_length_a 7.540
_cell_length_b 13.029
_cell_length_c 7.528
_cell_angle_alpha 90.00
_cell_angle_beta 109.42
_cell_angle_gamma 90.00
loop_
_atom_site_label
_atom_site_type_symbol
_atom_site_fract_x
_atom_site_fract_y
_atom_site_fract_z
La1 La 0.248 0.000 0.252
La2 La 0.248 0.165 0.748
Ga1 Ga 0.000 0.000 0.500
Se1 Se 0.000 0.167 0.000
Se2 Se 0.000 0.333 0.500
Se3 Se 0.000 0.500 0.000
```

Record 4
# MoP2CCl

An optimized crystal structure of MoP2CCl (GGA-PBE, Alexandria).

Properties
- ΔE to the lowest computed polymorph: 0.0 meV per atom
- ρ: 5.0 g/cm³
- Energy relative to the elements, uncorrected: 1268 meV per atom

```
data_MoP2CCl
_chemical_formula_sum 'Mo1 P2 C1 Cl1'
_space_group_name_H-M_alt 'P 4/m m m'
_space_group_IT_number 123
_space_group_name_Hall '-P 4 2'
_cell_length_a 3.982
_cell_length_b 3.982
_cell_length_c 4.271
_cell_angle_alpha 90.00
_cell_angle_beta 90.00
_cell_angle_gamma 90.00
loop_
_atom_site_label
_atom_site_type_symbol
_atom_site_fract_x
_atom_site_fract_y
_atom_site_fract_z
Mo1 Mo 0.000 0.000 0.000
P1 P 0.000 0.500 0.500
C1 C 0.500 0.500 0.500
Cl1 Cl 0.500 0.500 0.000
```

Record 5
# Tl6Cl5F7

An optimized crystal structure of Tl6Cl5F7 (GGA-PBE, Alexandria).

Properties
- ρ: 5.3 g/cm³
- Energy relative to the elements, uncorrected: -1416 meV per atom

```
data_Tl6Cl5F7
_chemical_formula_sum 'Tl12 Cl10 F14'
_space_group_name_H-M_alt 'A m m 2'
_space_group_IT_number 38
_space_group_name_Hall 'A 2 -2'
_cell_length_a 11.705
_cell_length_b 7.914
_cell_length_c 10.459
_cell_angle_alpha 90.00
_cell_angle_beta 90.00
_cell_angle_gamma 90.00
loop_
_atom_site_label
_atom_site_type_symbol
_atom_site_fract_x
_atom_site_fract_y
_atom_site_fract_z
Tl1 Tl 0.000 0.000 0.000
Tl2 Tl 0.159 0.000 0.405
Tl3 Tl 0.326 0.000 0.881
Tl4 Tl 0.500 0.000 0.384
Cl1 Cl 0.000 0.000 0.585
Cl2 Cl 0.320 0.000 0.223
Cl3 Cl 0.337 0.000 0.565
F1 F 0.000 0.000 0.276
F2 F 0.155 0.228 0.903
F3 F 0.500 0.229 0.880
```

Record 6
# MgCd2SiP

An optimized crystal structure of MgCd2SiP (GGA-PBE, Alexandria).

Properties
- ρ: 3.9 g/cm³
- Energy relative to the elements, uncorrected: 862 meV per atom

```
data_MgCd2SiP
_chemical_formula_sum 'Mg1 Cd2 Si1 P1'
_space_group_name_H-M_alt 'P 4/m m m'
_space_group_IT_number 123
_space_group_name_Hall '-P 4 2'
_cell_length_a 5.339
_cell_length_b 5.339
_cell_length_c 4.639
_cell_angle_alpha 90.00
_cell_angle_beta 90.00
_cell_angle_gamma 90.00
loop_
_atom_site_label
_atom_site_type_symbol
_atom_site_fract_x
_atom_site_fract_y
_atom_site_fract_z
Mg1 Mg 0.000 0.000 0.000
Cd1 Cd 0.000 0.500 0.000
Si1 Si 0.500 0.500 0.500
P1 P 0.000 0.000 0.500
```